[1]
# BeZn3O3 PBE relaxed
# Formation energy from raw total energies in meV per atom: -686
# Volume in A^3/atom: 13.39
# Electronic total energy in eV/atom: -3.8891
data_BeZn3O3
_cell_length_a 5.7236
_cell_length_b 5.7236
_cell_length_c 5.7236
_cell_angle_alpha 90.00
_cell_angle_beta 90.00
_cell_angle_gamma 90.00
_space_group_name_H-M_alt 'P m -3 n'
_space_group_IT_number 223
_space_group_name_Hall '-P 4n 2 3'
loop_
_atom_site_label
_atom_site_fract_x
_atom_site_fract_y
_atom_site_fract_z
_atom_site_occupancy
Be1 0.0000 0.0000 0.0000 1
Zn1 0.0000 0.2500 0.5000 1
O1 0.0000 0.5000 0.2500 1


[2]
# BeZnO3 PBE relaxed
# Formation energy from raw total energies in meV per atom: -770
# Volume in A^3/atom: 8.60
# Electronic total energy in eV/atom: -4.7445
data_BeZnO3
_cell_length_a 3.5033
_cell_length_b 3.5033
_cell_length_c 3.5033
_cell_angle_alpha 90.00
_cell_angle_beta 90.00
_cell_angle_gamma 90.00
_space_group_name_H-M_alt 'P m -3 m'
_space_group_IT_number 221
_space_group_name_Hall '-P 4 2 3'
loop_
_atom_site_label
_atom_site_fract_x
_atom_site_fract_y
_atom_site_fract_z
_atom_site_occupancy
Be1 0.0000 0.0000 0.0000 1
Zn1 0.5000 0.5000 0.5000 1
O1 0.0000 0.0000 0.5000 1


[3]
# BeZn3O4 PBE relaxed
# Formation energy from raw total energies in meV per atom: -1738
# Volume in A^3/atom: 10.78
# Electronic total energy in eV/atom: -5.1601
data_BeZn3O4
_cell_length_a 6.2500
_cell_length_b 5.4265
_cell_length_c 5.0877
_cell_angle_alpha 90.00
_cell_angle_beta 90.00
_cell_angle_gamma 90.00
_space_group_name_H-M_alt 'P m n 21'
_space_group_IT_number 31
loop_
_space_group_symop_operation_xyz
'x,y,z'
'-x+1/2,-y,z+1/2'
'-x,y,z'
'x+1/2,-y,z+1/2'
loop_
_atom_site_label
_atom_site_fract_x
_atom_site_fract_y
_atom_site_fract_z
_atom_site_occupancy
Be1 0.0000 0.1729 0.0000 1
Zn1 0.0000 0.8470 0.5034 1
Zn2 0.2477 0.6720 0.0013 1
O1 0.0000 0.1774 0.6746 1
O2 0.0000 0.8819 0.1097 1
O3 0.2219 0.3178 0.1079 1


[4]
# Be3ZnO4 PBE relaxed
# Formation energy from raw total energies in meV per atom: -2342
# Volume in A^3/atom: 8.16
# Electronic total energy in eV/atom: -6.3780
data_Be3ZnO4
_cell_length_a 4.0577
_cell_length_b 4.0577
_cell_length_c 7.9267
_cell_angle_alpha 90.00
_cell_angle_beta 90.00
_cell_angle_gamma 90.00
_space_group_name_H-M_alt 'I -4 2 m'
_space_group_IT_number 121
_space_group_name_Hall 'I -4 2'
loop_
_atom_site_label
_atom_site_fract_x
_atom_site_fract_y
_atom_site_fract_z
_atom_site_occupancy
Be1 0.0000 0.0000 0.0000 1
Be2 0.0000 0.5000 0.2500 1
Zn1 0.0000 0.0000 0.5000 1
O1 0.2198 0.2198 0.8626 1


[5]
# BeZn2O3 PBE relaxed
# Formation energy from raw total energies in meV per atom: -1808
# Volume in A^3/atom: 10.32
# Electronic total energy in eV/atom: -5.3327
data_BeZn2O3
_cell_length_a 3.0279
_cell_length_b 9.2253
_cell_length_c 4.4324
_cell_angle_alpha 90.00
_cell_angle_beta 90.00
_cell_angle_gamma 90.00
_space_group_name_H-M_alt 'I m m 2'
_space_group_IT_number 44
loop_
_space_group_symop_operation_xyz
'x,y,z'
'-x,-y,z'
'-x,y,z'
'x,-y,z'
'x+1/2,y+1/2,z+1/2'
'-x+1/2,-y+1/2,z+1/2'
'-x+1/2,y+1/2,z+1/2'
'x+1/2,-y+1/2,z+1/2'
loop_
_atom_site_label
_atom_site_fract_x
_atom_site_fract_y
_atom_site_fract_z
_atom_site_occupancy
Be1 0.0000 0.0000 0.0000 1
Zn1 0.0000 0.3384 0.0033 1
O1 0.0000 0.1476 0.7929 1
O2 0.0000 0.5000 0.7030 1


[6]
# BeZnO3 PBE relaxed
# Formation energy from raw total energies in meV per atom: 104
# Volume in A^3/atom: 10.26
# Electronic total energy in eV/atom: -3.8710
data_BeZnO3
_cell_length_a 3.7153
_cell_length_b 3.7153
_cell_length_c 3.7153
_cell_angle_alpha 90.00
_cell_angle_beta 90.00
_cell_angle_gamma 90.00
_space_group_name_H-M_alt 'P m -3 m'
_space_group_IT_number 221
_space_group_name_Hall '-P 4 2 3'
loop_
_atom_site_label
_atom_site_fract_x
_atom_site_fract_y
_atom_site_fract_z
_atom_site_occupancy
Be1 0.0000 0.0000 0.0000 1
Zn1 0.5000 0.5000 0.5000 1
O1 0.0000 0.5000 0.5000 1


[7]
# Be2ZnO PBE relaxed
# Formation energy from raw total energies in meV per atom: 540
# Volume in A^3/atom: 10.67
# Electronic total energy in eV/atom: -2.8811
data_Be2ZnO
_cell_length_a 5.5472
_cell_length_b 5.5472
_cell_length_c 5.5472
_cell_angle_alpha 90.00
_cell_angle_beta 90.00
_cell_angle_gamma 90.00
_space_group_name_H-M_alt 'F m -3 m'
_space_group_IT_number 225
_space_group_name_Hall '-F 4 2 3'
loop_
_atom_site_label
_atom_site_fract_x
_atom_site_fract_y
_atom_site_fract_z
_atom_site_occupancy
Be1 0.2500 0.2500 0.2500 1
Zn1 0.0000 0.0000 0.0000 1
O1 0.0000 0.0000 0.5000 1


[8]
# BeZn3O4 PBE relaxed
# Formation energy from raw total energies in meV per atom: -1724
# Volume in A^3/atom: 10.76
# Electronic total energy in eV/atom: -5.1462
data_BeZn3O4
_cell_length_a 4.4369
_cell_length_b 4.4369
_cell_length_c 8.7463
_cell_angle_alpha 90.00
_cell_angle_beta 90.00
_cell_angle_gamma 90.00
_space_group_name_H-M_alt 'I -4 2 m'
_space_group_IT_number 121
_space_group_name_Hall 'I -4 2'
loop_
_atom_site_label
_atom_site_fract_x
_atom_site_fract_y
_atom_site_fract_z
_atom_site_occupancy
Be1 0.0000 0.0000 0.0000 1
Zn1 0.0000 0.0000 0.5000 1
Zn2 0.0000 0.5000 0.2500 1
O1 0.2183 0.2183 0.8888 1


| no. | total magnetization (μB per formula unit) |
| --- | --- |
| 1 | 0.00 |
| 2 | 2.01 |
| 3 | 0.00 |
| 4 | 0.00 |
| 5 | 0.00 |
| 6 | 0.63 |
| 7 | 0.11 |
| 8 | 0.00 |